This record from Alexandria describes a geometry-optimized PaGaReRu structure. The functional is GGA-PBE. Values from VASP.

## Properties
Calculated volume = 70 Å³/cell
Energy relative to the elements = -0.177 eV per atom
E_tot = -8.739 eV per atom
Symmetry = No. 216

The structure in Quantum ESPRESSO input format:
```
&SYSTEM
  ibrav = 0, nat = 4, ntyp = 4
/
ATOMIC_SPECIES
Pa 231.04 Pa.upf
Ga 69.72 Ga.upf
Re 186.21 Re.upf
Ru 101.07 Ru.upf
ATOMIC_POSITIONS angstrom
Pa 0.000 0.000 0.000
Ga 3.275 3.275 3.275
Re 1.637 1.637 1.637
Ru 4.912 4.912 4.912
CELL_PARAMETERS angstrom
0.000 3.275 3.275
3.275 0.000 3.275
3.275 3.275 0.000
```

***

This record from Alexandria describes a geometry-optimized Pa2Ga2ReSi4 structure. The functional is GGA-PBE. Values from VASP.

## Properties
Calculated volume = 157 Å³/cell
E_tot = -6.954 eV per atom
Raw formation energy = -0.378 eV/atom
Symmetry = No. 139

The structure in Quantum ESPRESSO input format:
```
&SYSTEM
  ibrav = 0, nat = 9, ntyp = 4
/
ATOMIC_SPECIES
Pa 231.04 Pa.upf
Ga 69.72 Ga.upf
Re 186.21 Re.upf
Si 28.09 Si.upf
ATOMIC_POSITIONS angstrom
Pa 3.036 0.000 2.133
Pa 0.000 3.036 2.133
Ga 0.000 0.000 1.780
Ga 0.000 0.000 6.754
Re 0.000 0.000 4.267
Si 1.324 1.324 0.000
Si 1.712 -1.712 4.267
Si -1.712 1.712 4.267
Si 1.712 1.712 4.267
CELL_PARAMETERS angstrom
-3.036 3.036 4.267
3.036 -3.036 4.267
3.036 3.036 -4.267
```

***

This record from Alexandria describes a geometry-optimized PaVGaRe structure. The functional is GGA-PBE. Values from VASP.

## Properties
Calculated volume = 68 Å³/cell
Energy relative to the elements = -0.020 eV per atom
E_tot = -8.543 eV per atom
Symmetry = No. 216

The structure in Quantum ESPRESSO input format:
```
&SYSTEM
  ibrav = 0, nat = 4, ntyp = 4
/
ATOMIC_SPECIES
Pa 231.04 Pa.upf
V 50.94 V.upf
Ga 69.72 Ga.upf
Re 186.21 Re.upf
ATOMIC_POSITIONS angstrom
Pa 0.000 0.000 0.000
V 4.862 4.862 4.862
Ga 3.241 3.241 3.241
Re 1.621 1.621 1.621
CELL_PARAMETERS angstrom
0.000 3.241 3.241
3.241 0.000 3.241
3.241 3.241 0.000
```

***

Among the records above, which one has the lowest calculated volume? PaVGaRe